--- w ---
Gd2CdPd | PBE-GGA | optimized geometry

Cell: 3.6342 3.6342 7.4259 Å, 90.00 90.00 90.00°
Atoms (fractional coordinates):
1 Gd 0.0000 0.0000 0.2278
2 Gd 0.0000 0.0000 0.7722
3 Pd 0.5000 0.5000 0.0000
4 Cd 0.5000 0.5000 0.5000

Results
Spin magnetization ... 14.4 μB per cell
SG ... P4/mmm

---

--- x ---
Gd2CdPd | PBE-GGA | optimized geometry

Cell: 5.1696 5.1696 5.1696 Å, 60.00 60.00 60.00°
Atoms (fractional coordinates):
1 Gd 0.2500 0.2500 0.2500
2 Pd 0.0000 0.0000 0.0000
3 Cd 0.5000 0.5000 0.5000
4 Gd 0.7500 0.7500 0.7500

Results
Spin magnetization ... 14.3 μB per cell
SG ... Fm-3m

---

What should be chosen as the most stable of them? Choose w.

---

--- w ---
Pm2GdCd | PBE-GGA | optimized geometry

Cell: 3.7108 3.7108 8.9635 Å, 90.00 90.00 90.00°
Atoms (fractional coordinates):
1 Gd 0.5000 0.5000 0.5000
2 Pm 0.0000 0.0000 0.2253
3 Cd 0.5000 0.5000 0.0000
4 Pm 0.0000 0.0000 0.7747

Results
Spin magnetization ... 7.2 μB per cell
SG ... P4/mmm

---

--- x ---
Pm2GdCd | PBE-GGA | optimized geometry

Cell: 5.5400 5.5400 5.5400 Å, 60.00 60.00 60.00°
Atoms (fractional coordinates):
1 Gd 0.0000 0.0000 0.0000
2 Pm 0.2500 0.2500 0.2500
3 Pm 0.7500 0.7500 0.7500
4 Cd 0.5000 0.5000 0.5000

Results
Spin magnetization ... 7.7 μB per cell
SG ... Fm-3m

---

What should be chosen as the most stable of them? Choose w.

---

--- w ---
PrGdCd2 | PBE-GGA | optimized geometry

Cell: 5.4185 5.4185 5.4185 Å, 60.00 60.00 60.00°
Atoms (fractional coordinates):
1 Cd 0.2500 0.2500 0.2500
2 Pr 0.5000 0.5000 0.5000
3 Gd 0.0000 0.0000 0.0000
4 Cd 0.7500 0.7500 0.7500

Results
Spin magnetization ... 8.0 μB per cell
SG ... Fm-3m

---

--- x ---
PrGdCd2 | PBE-GGA | optimized geometry

Cell: 3.8203 3.8203 7.6947 Å, 90.00 90.00 90.00°
Atoms (fractional coordinates):
1 Cd 0.0000 0.0000 0.7630
2 Cd 0.0000 0.0000 0.2370
3 Gd 0.5000 0.5000 0.0000
4 Pr 0.5000 0.5000 0.5000

Results
Spin magnetization ... 8.0 μB per cell
SG ... P4/mmm

---

What should be chosen as the most stable of them? Choose w.

---

--- w ---
Gd2CdPt | PBE-GGA | optimized geometry

Cell: 4.0348 4.0348 8.3304 Å, 75.99 75.99 60.00°
Atoms (fractional coordinates):
1 Gd 0.2656 0.2656 0.2033
2 Cd 0.5000 0.5000 0.5000
3 Gd 0.7344 0.7344 0.7967
4 Pt 0.0000 0.0000 0.0000

Results
Spin magnetization ... 14.4 μB per cell
SG ... R-3m

---

--- x ---
Gd2CdPt | PBE-GGA | optimized geometry

Cell: 5.1461 5.1461 5.1461 Å, 60.00 60.00 60.00°
Atoms (fractional coordinates):
1 Gd 0.2500 0.2500 0.2500
2 Cd 0.0000 0.0000 0.0000
3 Gd 0.7500 0.7500 0.7500
4 Pt 0.5000 0.5000 0.5000

Results
Spin magnetization ... 14.2 μB per cell
SG ... Fm-3m

---

What should be chosen as the most stable of them? Choose x.

---

--- w ---
GdPuCd | PBE-GGA | optimized geometry

Cell: 3.5116 3.5116 7.2483 Å, 104.02 104.02 90.00°
Atoms (fractional coordinates):
1 Cd 0.6680 0.6680 0.3360
2 Pu 0.0073 0.0073 0.0146
3 Gd 0.3247 0.3247 0.6494

Results
Spin magnetization ... 13.7 μB per cell
SG ... I4mm

---

--- x ---
GdPuCd | PBE-GGA | optimized geometry

Cell: 3.1976 5.3531 5.3531 Å, 120.00 90.00 90.00°
Atoms (fractional coordinates):
1 Cd 0.0017 0.0000 0.0000
2 Pu 0.3186 0.6667 0.3333
3 Gd 0.6797 0.3333 0.6667

Results
Spin magnetization ... 1.4 μB per cell
SG ... P3m1

---

What should be chosen as the most stable of them? Choose w.

---

--- w ---
GdPu2Cd | PBE-GGA | optimized geometry

Cell: 3.6295 5.4764 5.4764 Å, 90.00 90.00 90.00°
Atoms (fractional coordinates):
1 Pu 0.0000 0.5000 0.0000
2 Cd 0.5000 0.5000 0.5000
3 Pu 0.0000 0.0000 0.5000
4 Gd 0.5000 0.0000 0.0000

Results
Spin magnetization ... 5.0 μB per cell
SG ... P4/mmm

---

--- x ---
GdPu2Cd | PBE-GGA | optimized geometry

Cell: 5.3643 5.3643 5.3650 Å, 60.00 60.00 60.00°
Atoms (fractional coordinates):
1 Pu 0.7500 0.7500 0.7500
2 Gd 0.5000 0.5000 0.5000
3 Pu 0.2500 0.2500 0.2500
4 Cd 0.0000 0.0000 0.0000

Results
Spin magnetization ... 20.3 μB per cell
SG ... Fm-3m

---

What should be chosen as the most stable of them? Choose w.

---

--- w ---
Gd2CdRh | PBE-GGA | optimized geometry

Cell: 3.5428 3.5428 7.6307 Å, 90.00 90.00 90.00°
Atoms (fractional coordinates):
1 Rh 0.5000 0.5000 0.0000
2 Gd 0.0000 0.0000 0.7832
3 Gd 0.0000 0.0000 0.2168
4 Cd 0.5000 0.5000 0.5000

Results
Spin magnetization ... 14.1 μB per cell
SG ... P4/mmm

---

--- x ---
Gd2CdRh | PBE-GGA | optimized geometry

Cell: 3.9463 3.9463 8.4099 Å, 76.43 76.43 60.00°
Atoms (fractional coordinates):
1 Cd 0.5000 0.5000 0.5000
2 Gd 0.2673 0.2673 0.1981
3 Rh 0.0000 0.0000 0.0000
4 Gd 0.7327 0.7327 0.8019

Results
Spin magnetization ... 14.2 μB per cell
SG ... R-3m

---

What should be chosen as the most stable of them? Choose w.

---

--- w ---
Gd2CdRu | PBE-GGA | optimized geometry

Cell: 3.4777 3.4777 7.8423 Å, 90.00 90.00 90.00°
Atoms (fractional coordinates):
1 Gd 0.0000 0.0000 0.2146
2 Gd 0.0000 0.0000 0.7854
3 Cd 0.5000 0.5000 0.5000
4 Ru 0.5000 0.5000 0.0000

Results
Spin magnetization ... 14.3 μB per cell
SG ... P4/mmm

---

--- x ---
Gd2CdRu | PBE-GGA | optimized geometry

Cell: 3.8711 3.8711 8.6094 Å, 77.01 77.01 60.00°
Atoms (fractional coordinates):
1 Ru 0.0000 0.0000 0.0000
2 Gd 0.7316 0.7316 0.8051
3 Cd 0.5000 0.5000 0.5000
4 Gd 0.2684 0.2684 0.1949

Results
Spin magnetization ... 14.2 μB per cell
SG ... R-3m

---

What should be chosen as the most stable of them? Choose w.

---

--- w ---
GdSc2Cd | PBE-GGA | optimized geometry

Cell: 4.6405 4.6490 4.6490 Å, 90.00 90.00 90.00°
Atoms (fractional coordinates):
1 Cd 0.5000 0.0000 0.0000
2 Gd 0.5000 0.5000 0.5000
3 Sc 0.0000 0.0000 0.5000
4 Sc 0.0000 0.5000 0.0000

Results
Spin magnetization ... 8.2 μB per cell
SG ... P4/mmm

---

--- x ---
GdSc2Cd | PBE-GGA | optimized geometry

Cell: 3.2892 3.2892 11.3993 Å, 81.70 81.70 60.00°
Atoms (fractional coordinates):
1 Sc 0.9058 0.9058 0.2827
2 Cd 0.5000 0.5000 0.5000
3 Gd 0.0000 0.0000 0.0000
4 Sc 0.0942 0.0942 0.7173

Results
Spin magnetization ... 8.5 μB per cell
SG ... R-3m

---

What should be chosen as the most stable of them? Choose w.

---

--- w ---
GdScCd | PBE-GGA | optimized geometry

Cell: 3.5445 5.1142 5.1142 Å, 120.00 90.00 90.00°
Atoms (fractional coordinates):
1 Cd 0.8329 0.6667 0.3333
2 Gd 0.3334 0.3333 0.6667
3 Sc 0.8337 0.0000 0.0000

Results
Spin magnetization ... 7.9 μB per cell
SG ... P-6m2

---

--- x ---
GdScCd | PBE-GGA | optimized geometry

Cell: 3.5070 3.5070 6.8240 Å, 104.89 104.89 90.00°
Atoms (fractional coordinates):
1 Gd 0.2868 0.2868 0.5737
2 Cd 0.9609 0.9609 0.9218
3 Sc 0.6023 0.6023 0.2045

Results
Spin magnetization ... 8.2 μB per cell
SG ... I4mm

---

What should be chosen as the most stable of them? Choose x.

---

--- w ---
Sm2GdCd | PBE-GGA | optimized geometry

Cell: 3.6733 3.6733 9.0435 Å, 90.00 90.00 90.00°
Atoms (fractional coordinates):
1 Gd 0.5000 0.5000 0.5000
2 Cd 0.5000 0.5000 0.0000
3 Sm 0.0000 0.0000 0.2264
4 Sm 0.0000 0.0000 0.7736

Results
Spin magnetization ... 7.2 μB per cell
SG ... P4/mmm

---

--- x ---
Sm2GdCd | PBE-GGA | optimized geometry

Cell: 3.6125 3.6125 11.2255 Å, 80.74 80.74 60.00°
Atoms (fractional coordinates):
1 Sm 0.2553 0.2553 0.2340
2 Cd 0.0000 0.0000 0.0000
3 Gd 0.5000 0.5000 0.5000
4 Sm 0.7447 0.7447 0.7660

Results
Spin magnetization ... 7.1 μB per cell
SG ... R-3m

---

What should be chosen as the most stable of them? Choose w.

---

--- w ---
Sm2GdCd | PBE-GGA | optimized geometry

Cell: 5.5196 5.5196 5.5196 Å, 60.00 60.00 60.00°
Atoms (fractional coordinates):
1 Sm 0.7500 0.7500 0.7500
2 Sm 0.2500 0.2500 0.2500
3 Cd 0.5000 0.5000 0.5000
4 Gd 0.0000 0.0000 0.0000

Results
Spin magnetization ... 7.7 μB per cell
SG ... Fm-3m

---

--- x ---
Sm2GdCd | PBE-GGA | optimized geometry

Cell: 3.8384 5.5697 5.5697 Å, 90.00 90.00 90.00°
Atoms (fractional coordinates):
1 Sm 0.0000 0.5000 0.0000
2 Sm 0.0000 0.0000 0.5000
3 Gd 0.5000 0.5000 0.5000
4 Cd 0.5000 0.0000 0.0000

Results
Spin magnetization ... 7.1 μB per cell
SG ... P4/mmm

---

What should be chosen as the most stable of them? Choose x.

---

--- w ---
SrGdCd | PBE-GGA | optimized geometry

Cell: 3.9307 5.5111 5.5111 Å, 120.00 90.00 90.00°
Atoms (fractional coordinates):
1 Sr 0.6429 0.6667 0.3333
2 Cd 0.2504 0.3333 0.6667
3 Gd 0.1067 0.0000 0.0000

Results
Spin magnetization ... 7.5 μB per cell
SG ... P3m1

---

--- x ---
SrGdCd | PBE-GGA | optimized geometry

Cell: 3.8783 3.8783 7.3938 Å, 105.20 105.20 90.00°
Atoms (fractional coordinates):
1 Gd 0.3018 0.3018 0.6036
2 Cd 0.6798 0.6798 0.3596
3 Sr 0.0184 0.0184 0.0367

Results
Spin magnetization ... 7.7 μB per cell
SG ... I4mm

---

What should be chosen as the most stable of them? Choose x.

---

--- w ---
SrGd2Cd | PBE-GGA | optimized geometry

Cell: 3.6786 3.6786 12.2519 Å, 81.37 81.37 60.00°
Atoms (fractional coordinates):
1 Gd 0.0989 0.0989 0.7032
2 Cd 0.5000 0.5000 0.5000
3 Gd 0.9011 0.9011 0.2968
4 Sr 0.0000 0.0000 0.0000

Results
Spin magnetization ... 15.4 μB per cell
SG ... R-3m

---

--- x ---
SrGd2Cd | PBE-GGA | optimized geometry

Cell: 3.8373 3.8373 9.4462 Å, 90.00 90.00 90.00°
Atoms (fractional coordinates):
1 Gd 0.0000 0.0000 0.1885
2 Cd 0.5000 0.5000 0.0000
3 Gd 0.0000 0.0000 0.8115
4 Sr 0.5000 0.5000 0.5000

Results
Spin magnetization ... 15.3 μB per cell
SG ... P4/mmm

---

What should be chosen as the most stable of them? Choose x.